! AlInAs (PBE-GGA, relaxed); values from VASP
&SYSTEM
  ibrav = 0, nat = 6, ntyp = 3
/
ATOMIC_SPECIES
As 74.92 As.upf
Al 26.98 Al.upf
In 114.82 In.upf
CELL_PARAMETERS angstrom
-3.565 -4.991 -0.841
3.109 -2.334 0.671
0.031 1.912 6.505
ATOMIC_POSITIONS crystal
As 0.691 0.000 0.969
As 0.691 0.500 0.469
Al 0.860 0.000 0.359
Al 0.860 0.500 0.859
In 0.217 0.000 0.804
In 0.217 0.500 0.304
! Energy of formation from the pure elements ... -87 meV per atom
! Distance to the lowest polymorph of the same formula ... 122 meV per atom
! Symmetry ... No. 8
! DOS at the Fermi energy ... 1.51 states/eV/cell